Entry 1:
This record from Alexandria describes a geometry-optimized NaMo3Cl structure. The functional is PBE.

Cell: 4.487 4.487 4.487 Å, 90.00 90.00 90.00°
Fractional coordinates of all 5 atoms:
Mo 0.000 0.000 0.500
Mo 0.500 0.000 0.000
Mo 0.000 0.500 0.000
Cl 0.000 0.000 0.000
Na 0.500 0.500 0.500

Results
- total DFT energy (no corrections) (eV per atom) = -5.90
- formation energy from raw total energies (eV/atom) = 1.24
- polymorph energy (0 for the lowest one) (meV per atom) = 0

Entry 2:
This record from Alexandria describes a geometry-optimized TaBSN2 structure. The functional is PBE.

Cell: 3.500 3.500 4.076 Å, 90.00 90.00 90.00°
Fractional coordinates of all 5 atoms:
N 0.500 0.000 0.000
N 0.000 0.500 0.000
S 0.000 0.000 0.500
Ta 0.500 0.500 0.500
B 0.000 0.000 0.000

Results
- total DFT energy (no corrections) (eV per atom) = -6.94
- formation energy from raw total energies (eV/atom) = 0.92
- polymorph energy (0 for the lowest one) (meV per atom) = 0

Entry 3:
This record from Alexandria describes a geometry-optimized LaInSi2Rh5 structure. The functional is PBE.

Cell: 4.110 4.110 10.265 Å, 90.00 90.00 90.00°
Fractional coordinates of all 9 atoms:
La 0.000 0.000 0.500
Si 0.500 0.500 0.274
Rh 0.500 0.000 0.171
Rh 0.500 0.500 0.500
Rh 0.500 0.000 0.829
In 0.000 0.000 0.000
Rh 0.000 0.500 0.829
Si 0.500 0.500 0.726
Rh 0.000 0.500 0.171

Results
- total DFT energy (no corrections) (eV per atom) = -6.68
- formation energy from raw total energies (eV/atom) = -0.54

Entry 4:
This record from Alexandria describes a geometry-optimized Tm3FeCu structure. The functional is PBE.

Cell: 5.678 5.678 8.550 Å, 67.09 67.09 62.87°
Fractional coordinates of all 10 atoms:
Tm 0.708 0.708 0.664
Tm 0.307 0.307 0.863
Cu 0.706 0.294 0.500
Tm 0.292 0.292 0.336
Tm 0.017 0.017 0.766
Tm 0.983 0.983 0.234
Tm 0.693 0.693 0.137
Cu 0.294 0.706 0.500
Fe 0.688 0.312 0.000
Fe 0.312 0.688 0.000

Results
- total DFT energy (no corrections) (eV per atom) = -5.30